a:
PmPrRu: relaxed, GGA-PBE.

a b c (Å): 5.594 5.594 8.294
angles (deg): 90.00 90.00 120.00
Positions (direct):
Ru1 0.830 0.170 0.167
Pm1 0.149 0.851 0.167
Pr1 0.511 0.021 0.833
Pr2 0.979 0.489 0.500
Pr3 0.511 0.489 0.167
Ru2 0.341 0.170 0.500
Ru3 0.830 0.659 0.833
Pm2 0.149 0.298 0.833
Pm3 0.702 0.851 0.500

***

b:
PmPrRu: relaxed, GGA-PBE.

a b c (Å): 3.932 4.756 4.756
angles (deg): 120.00 90.00 90.00
Positions (direct):
Ru1 0.008 0.000 0.000
Pm1 0.271 0.333 0.667
Pr1 0.721 0.667 0.333

***

Energy ordering: b at the bottom, the next structure 14.1 kJ/mol of atoms above.

***

a:
PmPrRu: relaxed, GGA-PBE.

a b c (Å): 4.930 4.930 4.930
angles (deg): 60.00 60.00 60.00
Positions (direct):
Pr1 0.500 0.500 0.500
Ru1 0.250 0.250 0.250
Pm1 0.000 0.000 0.000

***

b:
PmPrRu: relaxed, GGA-PBE.

a b c (Å): 3.502 3.502 7.297
angles (deg): 103.89 103.89 90.00
Positions (direct):
Pr1 0.041 0.041 0.083
Pm1 0.290 0.290 0.580
Ru1 0.669 0.669 0.337

***

Energy ordering: b at the bottom, the next structure 0.5 kJ/mol of atoms above.

***

a:
Pm4PrRu: relaxed, GGA-PBE.

a b c (Å): 6.129 7.601 9.578
angles (deg): 113.38 108.66 90.00
Positions (direct):
Ru1 0.259 0.501 0.001
Pm1 0.169 0.669 0.339
Pm2 0.388 0.632 0.775
Pm3 0.612 0.857 0.225
Ru2 0.741 0.499 0.999
Pm4 0.000 0.208 0.000
Pm5 0.612 0.368 0.225
Pr1 0.200 0.200 0.400
Pm6 0.388 0.143 0.775
Pr2 0.800 0.800 0.600
Pm7 0.000 0.792 0.000
Pm8 0.831 0.331 0.661

***

b:
Pm4PrRu: relaxed, GGA-PBE.

a b c (Å): 4.842 4.842 9.056
angles (deg): 90.00 90.00 90.00
Positions (direct):
Pm1 0.500 0.000 0.313
Pm2 0.500 0.000 0.687
Pr1 0.000 0.000 0.000
Pm3 0.000 0.500 0.687
Ru1 0.500 0.500 0.500
Pm4 0.000 0.500 0.313

***

Energy ordering: a at the bottom, the next structure 27.3 kJ/mol of atoms above.

***

a:
PmPrZnRu: relaxed, GGA-PBE.

a b c (Å): 4.111 4.366 5.806
angles (deg): 90.00 110.73 90.00
Positions (direct):
Zn1 0.433 0.000 0.866
Pr1 0.858 0.500 0.716
Ru1 0.572 0.500 0.143
Pm1 0.137 0.000 0.275

***

b:
PmPrZnRu: relaxed, GGA-PBE.

a b c (Å): 5.086 5.086 5.086
angles (deg): 60.00 60.00 60.00
Positions (direct):
Ru1 0.750 0.750 0.750
Zn1 0.250 0.250 0.250
Pr1 0.000 0.000 0.000
Pm1 0.500 0.500 0.500

***

Energy ordering: a at the bottom, the next structure 2.4 kJ/mol of atoms above.

***

a:
Pm3PrS4: relaxed, GGA-PBE.

a b c (Å): 7.040 7.046 8.039
angles (deg): 90.00 90.00 109.40
Positions (direct):
Pr1 0.750 0.000 0.875
Pm1 0.750 0.500 0.125
S1 0.000 0.254 0.127
S2 0.998 0.748 0.377
Pm2 0.250 0.000 0.625
Pm3 0.250 0.500 0.875
Pm4 0.750 0.500 0.625
Pr2 0.250 0.000 0.125
S3 0.000 0.746 0.873
S4 0.500 0.254 0.873
S5 0.002 0.252 0.623
Pm5 0.250 0.500 0.375
Pm6 0.750 0.000 0.375
S6 0.502 0.252 0.377
S7 0.498 0.748 0.623
S8 0.500 0.746 0.127

***

b:
Pm3PrS4: relaxed, GGA-PBE.

a b c (Å): 5.732 5.732 5.732
angles (deg): 90.00 90.00 90.00
Positions (direct):
Pr1 0.000 0.000 0.000
Pm1 0.000 0.500 0.500
S1 0.000 0.500 0.000
S2 0.500 0.500 0.500
S3 0.000 0.000 0.500
Pm2 0.500 0.000 0.500
S4 0.500 0.000 0.000
Pm3 0.500 0.500 0.000

***

Energy ordering: a at the bottom, the next structure 1.4 kJ/mol of atoms above.

***

a:
PmPrSb: relaxed, GGA-PBE.

a b c (Å): 4.592 4.592 9.444
angles (deg): 104.07 104.07 90.00
Positions (direct):
Pm1 0.000 0.500 0.000
Sb1 0.363 0.363 0.727
Pm2 0.500 0.000 0.000
Pr1 0.178 0.178 0.357
Sb2 0.637 0.637 0.273
Pr2 0.822 0.822 0.643

***

b:
PmPrSb: relaxed, GGA-PBE.

a b c (Å): 5.249 5.249 5.249
angles (deg): 60.00 60.00 60.00
Positions (direct):
Pr1 0.000 0.000 0.000
Pm1 0.500 0.500 0.500
Sb1 0.250 0.250 0.250

***

c:
PmPrSb: relaxed, GGA-PBE.

a b c (Å): 4.184 4.184 5.900
angles (deg): 110.77 110.77 90.00
Positions (direct):
Sb1 0.619 0.619 0.238
Pm1 0.268 0.268 0.537
Pr1 0.963 0.963 0.925

***

Energy ordering: a at the bottom, the next structure 16.4 kJ/mol of atoms above.

***

a:
PmPr3Sb2: relaxed, GGA-PBE.

a b c (Å): 4.622 4.622 8.922
angles (deg): 90.00 90.00 90.00
Positions (direct):
Sb1 0.000 0.500 0.277
Pr1 0.000 0.500 0.644
Pr2 0.000 0.000 0.000
Sb2 0.500 0.000 0.723
Pr3 0.500 0.000 0.356
Pm1 0.500 0.500 0.000

***

b:
PmPr3Sb2: relaxed, GGA-PBE.

a b c (Å): 7.320 7.943 9.160
angles (deg): 115.70 113.55 90.00
Positions (direct):
Pr1 0.208 0.458 0.416
Sb1 0.177 0.854 0.708
Pr2 0.500 0.750 0.000
Sb2 0.823 0.146 0.292
Sb3 0.531 0.354 0.708
Pr3 0.208 0.958 0.416
Pr4 0.792 0.042 0.584
Sb4 0.469 0.646 0.292
Pm1 0.000 0.000 0.000
Pm2 0.000 0.500 0.000
Pr5 0.500 0.250 0.000
Pr6 0.792 0.542 0.584

***

Energy ordering: a at the bottom, the next structure 18.8 kJ/mol of atoms above.

***

a:
PmPr3Sb3: relaxed, GGA-PBE.

a b c (Å): 6.338 9.718 9.718
angles (deg): 120.00 90.00 90.00
Positions (direct):
Pr1 0.750 0.941 0.629
Sb1 0.750 0.659 0.695
Pr2 0.250 0.059 0.371
Sb2 0.750 0.305 0.964
Sb3 0.250 0.341 0.305
Pm1 0.750 0.333 0.667
Sb4 0.750 0.036 0.341
Pr3 0.750 0.371 0.312
Sb5 0.250 0.964 0.659
Pr4 0.750 0.688 0.059
Pm2 0.250 0.667 0.333
Sb6 0.250 0.695 0.036
Pr5 0.250 0.629 0.688
Pr6 0.250 0.312 0.941

***

b:
PmPr3Sb3: relaxed, GGA-PBE.

a b c (Å): 9.556 9.556 9.556
angles (deg): 90.00 90.00 90.00
Positions (direct):
Pr1 0.179 0.821 0.321
Sb1 0.752 0.627 0.999
Pr2 0.680 0.320 0.820
Sb2 0.627 0.999 0.752
Sb3 0.501 0.248 0.127
Sb4 0.001 0.252 0.873
Pr3 0.320 0.820 0.680
Sb5 0.248 0.127 0.501
Pr4 0.321 0.179 0.821
Sb6 0.252 0.873 0.001
Pm1 0.571 0.929 0.071
Sb7 0.499 0.748 0.373
Pr5 0.820 0.680 0.320
Pm2 0.071 0.571 0.929
Pr6 0.931 0.931 0.931
Sb8 0.748 0.373 0.499
Sb9 0.373 0.499 0.748
Sb10 0.873 0.001 0.252
Sb11 0.999 0.752 0.627
Pm3 0.929 0.071 0.571
Pr7 0.821 0.321 0.179
Sb12 0.127 0.501 0.248
Pr8 0.069 0.431 0.569
Pr9 0.679 0.679 0.679
Pr10 0.431 0.569 0.069
Pr11 0.180 0.180 0.180
Pr12 0.569 0.069 0.431
Pm4 0.429 0.429 0.429

***

Energy ordering: b at the bottom, the next structure 25.9 kJ/mol of atoms above.